# Tb6Dy8Ho, optimized geometry, DFT PBE-GGA
# formation energy	0.125	eV per atom
# calculated density	8.37	g/cm3
# M_tot	0.00	μB per formula unit
data_Tb6Dy8Ho
_chemical_formula_sum 'Tb18 Dy24 Ho3'
_symmetry_space_group_name_H-M 'R -3'
_symmetry_Int_Tables_number 148
_symmetry_space_group_name_Hall '-R 3'
_cell_length_a 9.0045
_cell_length_b 9.0045
_cell_length_c 20.5034
_cell_angle_alpha 90.00
_cell_angle_beta 90.00
_cell_angle_gamma 120.00
loop_
_atom_site_label
_atom_site_type_symbol
_atom_site_fract_x
_atom_site_fract_y
_atom_site_fract_z
Tb1 Tb 0.0619 0.2476 0.2078
Dy1 Dy 0.0000 0.0000 0.0768
Dy2 Dy 0.0815 0.5523 0.3078
Ho1 Ho 0.0000 0.0000 0.5000

# ThTc2H7, optimized geometry, DFT PBE-GGA
# calculated density	8.38	g/cm3
# M_tot	0.00	μB per formula unit
# E_tot	-5.26	eV/atom
data_ThTc2H7
_chemical_formula_sum 'Th2 Tc4 H14'
_symmetry_space_group_name_H-M 'C m m m'
_symmetry_Int_Tables_number 65
_symmetry_space_group_name_Hall '-C 2 2'
_cell_length_a 5.351
_cell_length_b 9.226
_cell_length_c 3.492
_cell_angle_alpha 90.00
_cell_angle_beta 90.00
_cell_angle_gamma 90.00
loop_
_atom_site_label
_atom_site_type_symbol
_atom_site_fract_x
_atom_site_fract_y
_atom_site_fract_z
Th1 Th 0.000 0.000 0.000
Tc1 Tc 0.000 0.312 0.500
H1 H 0.000 0.270 0.000
H2 H 0.000 0.500 0.500
H3 H 0.175 0.142 0.500

# PuMgTlF6, optimized geometry, DFT PBE-GGA
# calculated density	5.67	g/cm3
# E_form (uncorrected)	-28.221	eV per formula unit
# M_tot	5.00	μB per formula unit
data_PuMgTlF6
_chemical_formula_sum 'Pu2 Mg2 Tl2 F12'
_symmetry_space_group_name_H-M 'P -3 1 c'
_symmetry_Int_Tables_number 163
_symmetry_space_group_name_Hall '-P 3 2c'
_cell_length_a 5.9549
_cell_length_b 5.9549
_cell_length_c 11.1853
_cell_angle_alpha 90.00
_cell_angle_beta 90.00
_cell_angle_gamma 120.00
loop_
_atom_site_label
_atom_site_type_symbol
_atom_site_fract_x
_atom_site_fract_y
_atom_site_fract_z
Pu1 Pu 0.3333 0.6667 0.2500
Mg1 Mg 0.3333 0.6667 0.7500
Tl1 Tl 0.0000 0.0000 0.0000
F1 F 0.0334 0.3979 0.6509

# Tb3Bi2N, optimized geometry, DFT PBE-GGA
# calculated density	9.84	g/cm3
# E_form (uncorrected)	-5.345	eV per formula unit
# M_tot	0.00	μB per formula unit
data_Tb3Bi2N
_chemical_formula_sum 'Tb6 Bi4 N2'
_symmetry_space_group_name_H-M 'I m m m'
_symmetry_Int_Tables_number 71
_symmetry_space_group_name_Hall '-I 2 2'
_cell_length_a 3.502
_cell_length_b 6.041
_cell_length_c 14.496
_cell_angle_alpha 90.00
_cell_angle_beta 90.00
_cell_angle_gamma 90.00
loop_
_atom_site_label
_atom_site_type_symbol
_atom_site_fract_x
_atom_site_fract_y
_atom_site_fract_z
Tb1 Tb 0.000 0.000 0.000
Tb2 Tb 0.000 0.000 0.389
Bi1 Bi 0.000 0.500 0.315
N1 N 0.000 0.500 0.000

# Mg15In2Bi2, optimized geometry, DFT PBE-GGA
# formation energy	0.137	eV per atom
# calculated density	3.41	g/cm3
# M_tot	0.00	μB per formula unit
data_Mg15In2Bi2
_chemical_formula_sum 'Mg45 In6 Bi6'
_symmetry_space_group_name_H-M 'R -3 m'
_symmetry_Int_Tables_number 166
_symmetry_space_group_name_Hall '-R 3 2"'
_cell_length_a 8.8619
_cell_length_b 8.8619
_cell_length_c 21.7416
_cell_angle_alpha 90.00
_cell_angle_beta 90.00
_cell_angle_gamma 120.00
loop_
_atom_site_label
_atom_site_type_symbol
_atom_site_fract_x
_atom_site_fract_y
_atom_site_fract_z
Mg1 Mg 0.0000 0.3254 0.0000
Mg2 Mg 0.0000 0.5000 0.5000
Mg3 Mg 0.0928 0.5464 0.1128
In1 In 0.0000 0.0000 0.2783
Bi1 Bi 0.0000 0.0000 0.0834

# CdMo2SI, optimized geometry, DFT PBE-GGA
# calculated density	7.02	g/cm3
# E_form (uncorrected)	4.680	eV per formula unit
# M_tot	0.93	μB per formula unit
data_CdMo2SI
_chemical_formula_sum 'Cd1 Mo2 S1 I1'
_symmetry_space_group_name_H-M 'P 4/m m m'
_symmetry_Int_Tables_number 123
_symmetry_space_group_name_Hall '-P 4 2'
_cell_length_a 4.556
_cell_length_b 4.556
_cell_length_c 5.276
_cell_angle_alpha 90.00
_cell_angle_beta 90.00
_cell_angle_gamma 90.00
loop_
_atom_site_label
_atom_site_type_symbol
_atom_site_fract_x
_atom_site_fract_y
_atom_site_fract_z
Cd1 Cd 0.000 0.000 0.000
Mo1 Mo 0.000 0.500 0.500
S1 S 0.000 0.000 0.500
I1 I 0.500 0.500 0.000